w) DFT (GGA-PBE) results for a relaxed structure of AlSbW2.

CIF file:
```
data_AlSbW2
_cell_length_a 9.397
_cell_length_b 3.272
_cell_length_c 4.815
_cell_angle_alpha 90.00
_cell_angle_beta 108.91
_cell_angle_gamma 90.00
_symmetry_space_group_name_H-M 'C 1 m 1'
_symmetry_Int_Tables_number 8
_symmetry_space_group_name_Hall 'C -2y'
loop_
_atom_site_label
_atom_site_type_symbol
_atom_site_fract_x
_atom_site_fract_y
_atom_site_fract_z
Al1 Al 0.000 0.000 0.000
Sb1 Sb 0.229 0.000 0.678
W1 W 0.249 0.500 0.180
W2 W 0.471 0.000 0.465
```

x) DFT (GGA-PBE) results for a relaxed structure of AlSbW2.

CIF file:
```
data_AlSbW2
_cell_length_a 5.723
_cell_length_b 8.793
_cell_length_c 2.947
_cell_angle_alpha 90.00
_cell_angle_beta 110.74
_cell_angle_gamma 90.00
_symmetry_space_group_name_H-M 'C 1 2/m 1'
_symmetry_Int_Tables_number 12
_symmetry_space_group_name_Hall '-C 2y'
loop_
_atom_site_label
_atom_site_type_symbol
_atom_site_fract_x
_atom_site_fract_y
_atom_site_fract_z
Al1 Al 0.000 0.000 0.000
Sb1 Sb 0.000 0.500 0.000
W1 W 0.250 0.250 0.500
```

y) DFT (GGA-PBE) results for a relaxed structure of AlSbW2.

CIF file:
```
data_AlSbW2
_cell_length_a 3.406
_cell_length_b 4.613
_cell_length_c 8.894
_cell_angle_alpha 90.00
_cell_angle_beta 90.00
_cell_angle_gamma 90.00
_symmetry_space_group_name_H-M 'C m m m'
_symmetry_Int_Tables_number 65
_symmetry_space_group_name_Hall '-C 2 2'
loop_
_atom_site_label
_atom_site_type_symbol
_atom_site_fract_x
_atom_site_fract_y
_atom_site_fract_z
Al1 Al 0.000 0.000 0.000
Sb1 Sb 0.000 0.000 0.500
W1 W 0.000 0.500 0.233
```

z) DFT (GGA-PBE) results for a relaxed structure of AlSbW2.

CIF file:
```
data_AlSbW2
_cell_length_a 3.340
_cell_length_b 4.721
_cell_length_c 9.333
_cell_angle_alpha 90.00
_cell_angle_beta 90.00
_cell_angle_gamma 90.00
_symmetry_space_group_name_H-M 'C m m 2'
_symmetry_Int_Tables_number 35
_symmetry_space_group_name_Hall 'C 2 -2'
loop_
_atom_site_label
_atom_site_type_symbol
_atom_site_fract_x
_atom_site_fract_y
_atom_site_fract_z
Al1 Al 0.000 0.000 0.000
Sb1 Sb 0.000 0.500 0.294
W1 W 0.000 0.000 0.552
W2 W 0.000 0.500 0.776
```

Most stable = w)

w) DFT (GGA-PBE) results for a relaxed structure of AlSbW2.

CIF file:
```
data_AlSbW2
_cell_length_a 3.348
_cell_length_b 3.348
_cell_length_c 6.068
_cell_angle_alpha 90.00
_cell_angle_beta 90.00
_cell_angle_gamma 90.00
_symmetry_space_group_name_H-M 'P 4 m m'
_symmetry_Int_Tables_number 99
_symmetry_space_group_name_Hall 'P 4 -2'
loop_
_atom_site_label
_atom_site_type_symbol
_atom_site_fract_x
_atom_site_fract_y
_atom_site_fract_z
Al1 Al 0.000 0.000 0.000
Sb1 Sb 0.500 0.500 0.285
W1 W 0.000 0.000 0.535
W2 W 0.500 0.500 0.797
```

x) DFT (GGA-PBE) results for a relaxed structure of AlSbW2.

CIF file:
```
data_AlSbW2
_cell_length_a 4.015
_cell_length_b 4.015
_cell_length_c 19.077
_cell_angle_alpha 90.00
_cell_angle_beta 90.00
_cell_angle_gamma 90.00
_symmetry_space_group_name_H-M 'I -4 2 d'
_symmetry_Int_Tables_number 122
_symmetry_space_group_name_Hall 'I -4 2bw'
loop_
_atom_site_label
_atom_site_type_symbol
_atom_site_fract_x
_atom_site_fract_y
_atom_site_fract_z
Al1 Al 0.000 0.000 0.000
Sb1 Sb 0.000 0.000 0.500
W1 W 0.202 0.250 0.125
```

y) DFT (GGA-PBE) results for a relaxed structure of AlSbW2.

CIF file:
```
data_AlSbW2
_cell_length_a 5.815
_cell_length_b 6.785
_cell_length_c 3.459
_cell_angle_alpha 90.00
_cell_angle_beta 90.00
_cell_angle_gamma 90.00
_symmetry_space_group_name_H-M 'C m m m'
_symmetry_Int_Tables_number 65
_symmetry_space_group_name_Hall '-C 2 2'
loop_
_atom_site_label
_atom_site_type_symbol
_atom_site_fract_x
_atom_site_fract_y
_atom_site_fract_z
Al1 Al 0.000 0.000 0.000
Sb1 Sb 0.000 0.500 0.000
W1 W 0.250 0.250 0.500
```

Most stable = w)

w) DFT (GGA-PBE) results for a relaxed structure of AlSbW2.

CIF file:
```
data_AlSbW2
_cell_length_a 3.354
_cell_length_b 4.688
_cell_length_c 8.731
_cell_angle_alpha 90.00
_cell_angle_beta 90.00
_cell_angle_gamma 90.00
_symmetry_space_group_name_H-M 'I m m m'
_symmetry_Int_Tables_number 71
_symmetry_space_group_name_Hall '-I 2 2'
loop_
_atom_site_label
_atom_site_type_symbol
_atom_site_fract_x
_atom_site_fract_y
_atom_site_fract_z
Al1 Al 0.000 0.000 0.000
Sb1 Sb 0.000 0.000 0.500
W1 W 0.000 0.500 0.254
```

x) DFT (GGA-PBE) results for a relaxed structure of AlSbW2.

CIF file:
```
data_AlSbW2
_cell_length_a 6.544
_cell_length_b 6.544
_cell_length_c 6.544
_cell_angle_alpha 90.00
_cell_angle_beta 90.00
_cell_angle_gamma 90.00
_symmetry_space_group_name_H-M 'F -4 3 m'
_symmetry_Int_Tables_number 216
_symmetry_space_group_name_Hall 'F -4 2 3'
loop_
_atom_site_label
_atom_site_type_symbol
_atom_site_fract_x
_atom_site_fract_y
_atom_site_fract_z
Al1 Al 0.000 0.000 0.000
Sb1 Sb 0.250 0.250 0.750
W1 W 0.000 0.000 0.500
W2 W 0.250 0.250 0.250
```

Most stable = x)

w) DFT (GGA-PBE) results for a relaxed structure of AlSb3W.

CIF file:
```
data_AlSb3W
_cell_length_a 5.157
_cell_length_b 5.157
_cell_length_c 5.157
_cell_angle_alpha 90.00
_cell_angle_beta 90.00
_cell_angle_gamma 90.00
_symmetry_space_group_name_H-M 'P m -3 m'
_symmetry_Int_Tables_number 221
_symmetry_space_group_name_Hall '-P 4 2 3'
loop_
_atom_site_label
_atom_site_type_symbol
_atom_site_fract_x
_atom_site_fract_y
_atom_site_fract_z
Al1 Al 0.000 0.000 0.000
Sb1 Sb 0.000 0.000 0.500
W1 W 0.500 0.500 0.500
```

x) DFT (GGA-PBE) results for a relaxed structure of AlSb3W.

CIF file:
```
data_AlSb3W
_cell_length_a 5.285
_cell_length_b 5.285
_cell_length_c 5.285
_cell_angle_alpha 90.00
_cell_angle_beta 90.00
_cell_angle_gamma 90.00
_symmetry_space_group_name_H-M 'P m -3 m'
_symmetry_Int_Tables_number 221
_symmetry_space_group_name_Hall '-P 4 2 3'
loop_
_atom_site_label
_atom_site_type_symbol
_atom_site_fract_x
_atom_site_fract_y
_atom_site_fract_z
Al1 Al 0.000 0.000 0.000
Sb1 Sb 0.000 0.500 0.500
W1 W 0.500 0.500 0.500
```

Most stable = x)

w) DFT (GGA-PBE) results for a relaxed structure of AlSbW3.

CIF file:
```
data_AlSbW3
_cell_length_a 4.596
_cell_length_b 4.596
_cell_length_c 4.596
_cell_angle_alpha 90.00
_cell_angle_beta 90.00
_cell_angle_gamma 90.00
_symmetry_space_group_name_H-M 'P m -3 m'
_symmetry_Int_Tables_number 221
_symmetry_space_group_name_Hall '-P 4 2 3'
loop_
_atom_site_label
_atom_site_type_symbol
_atom_site_fract_x
_atom_site_fract_y
_atom_site_fract_z
Al1 Al 0.000 0.000 0.000
Sb1 Sb 0.500 0.500 0.500
W1 W 0.000 0.000 0.500
```

x) DFT (GGA-PBE) results for a relaxed structure of AlSbW3.

CIF file:
```
data_AlSbW3
_cell_length_a 4.871
_cell_length_b 4.871
_cell_length_c 4.871
_cell_angle_alpha 90.00
_cell_angle_beta 90.00
_cell_angle_gamma 90.00
_symmetry_space_group_name_H-M 'P m -3 m'
_symmetry_Int_Tables_number 221
_symmetry_space_group_name_Hall '-P 4 2 3'
loop_
_atom_site_label
_atom_site_type_symbol
_atom_site_fract_x
_atom_site_fract_y
_atom_site_fract_z
Al1 Al 0.000 0.000 0.000
Sb1 Sb 0.500 0.500 0.500
W1 W 0.000 0.500 0.500
```

Most stable = w)

w) DFT (GGA-PBE) results for a relaxed structure of Y4AlSb.

CIF file:
```
data_Y4AlSb
_cell_length_a 8.842
_cell_length_b 8.842
_cell_length_c 8.842
_cell_angle_alpha 90.00
_cell_angle_beta 90.00
_cell_angle_gamma 90.00
_symmetry_space_group_name_H-M 'F -4 3 m'
_symmetry_Int_Tables_number 216
_symmetry_space_group_name_Hall 'F -4 2 3'
loop_
_atom_site_label
_atom_site_type_symbol
_atom_site_fract_x
_atom_site_fract_y
_atom_site_fract_z
Y1 Y 0.125 0.125 0.125
Al1 Al 0.250 0.250 0.750
Sb1 Sb 0.000 0.000 0.500
```

x) DFT (GGA-PBE) results for a relaxed structure of Y4AlSb.

CIF file:
```
data_Y4AlSb
_cell_length_a 13.962
_cell_length_b 13.962
_cell_length_c 13.962
_cell_angle_alpha 90.00
_cell_angle_beta 90.00
_cell_angle_gamma 90.00
_symmetry_space_group_name_H-M 'F -4 3 m'
_symmetry_Int_Tables_number 216
_symmetry_space_group_name_Hall 'F -4 2 3'
loop_
_atom_site_label
_atom_site_type_symbol
_atom_site_fract_x
_atom_site_fract_y
_atom_site_fract_z
Y1 Y 0.000 0.000 0.187
Y2 Y 0.057 0.250 0.750
Y3 Y 0.124 0.124 0.376
Al1 Al 0.158 0.158 0.158
Sb1 Sb 0.099 0.099 0.599
```

Most stable = x)

w) DFT (GGA-PBE) results for a relaxed structure of YAlSb3.

CIF file:
```
data_YAlSb3
_cell_length_a 5.774
_cell_length_b 5.774
_cell_length_c 5.774
_cell_angle_alpha 90.00
_cell_angle_beta 90.00
_cell_angle_gamma 90.00
_symmetry_space_group_name_H-M 'P m -3 m'
_symmetry_Int_Tables_number 221
_symmetry_space_group_name_Hall '-P 4 2 3'
loop_
_atom_site_label
_atom_site_type_symbol
_atom_site_fract_x
_atom_site_fract_y
_atom_site_fract_z
Y1 Y 0.000 0.000 0.000
Al1 Al 0.500 0.500 0.500
Sb1 Sb 0.000 0.000 0.500
```

x) DFT (GGA-PBE) results for a relaxed structure of YAlSb3.

CIF file:
```
data_YAlSb3
_cell_length_a 5.276
_cell_length_b 5.276
_cell_length_c 5.276
_cell_angle_alpha 90.00
_cell_angle_beta 90.00
_cell_angle_gamma 90.00
_symmetry_space_group_name_H-M 'P m -3 m'
_symmetry_Int_Tables_number 221
_symmetry_space_group_name_Hall '-P 4 2 3'
loop_
_atom_site_label
_atom_site_type_symbol
_atom_site_fract_x
_atom_site_fract_y
_atom_site_fract_z
Y1 Y 0.000 0.000 0.000
Al1 Al 0.500 0.500 0.500
Sb1 Sb 0.000 0.500 0.500
```

Most stable = x)

w) DFT (GGA-PBE) results for a relaxed structure of Y2AlSb2.

CIF file:
```
data_Y2AlSb2
_cell_length_a 8.052
_cell_length_b 8.052
_cell_length_c 4.140
_cell_angle_alpha 90.00
_cell_angle_beta 90.00
_cell_angle_gamma 90.00
_symmetry_space_group_name_H-M 'P 4/m b m'
_symmetry_Int_Tables_number 127
_symmetry_space_group_name_Hall '-P 4 2ab'
loop_
_atom_site_label
_atom_site_type_symbol
_atom_site_fract_x
_atom_site_fract_y
_atom_site_fract_z
Y1 Y 0.156 0.344 0.000
Al1 Al 0.000 0.000 0.500
Sb1 Sb 0.150 0.650 0.500
```

x) DFT (GGA-PBE) results for a relaxed structure of Y2AlSb2.

CIF file:
```
data_Y2AlSb2
_cell_length_a 8.170
_cell_length_b 8.170
_cell_length_c 4.111
_cell_angle_alpha 90.00
_cell_angle_beta 90.00
_cell_angle_gamma 90.00
_symmetry_space_group_name_H-M 'P 4/m b m'
_symmetry_Int_Tables_number 127
_symmetry_space_group_name_Hall '-P 4 2ab'
loop_
_atom_site_label
_atom_site_type_symbol
_atom_site_fract_x
_atom_site_fract_y
_atom_site_fract_z
Y1 Y 0.150 0.350 0.000
Al1 Al 0.000 0.000 0.000
Sb1 Sb 0.159 0.659 0.500
```

Most stable = w)